# 1
First-principles (GGA-PBEsol) data for crystalline PrNiGe3 at its relaxed geometry, as listed in Alexandria via LeMat-Bulk.

Cell lengths 11.037, 11.037, 4.131 Å; angles 90.00, 90.00, 158.54 degrees
Positions (direct):
Pr 0.169 0.831 0.000
Pr 0.831 0.169 0.000
Ni 0.391 0.609 0.500
Ni 0.609 0.391 0.500
Ge 0.057 0.943 0.500
Ge 0.284 0.716 0.500
Ge 0.443 0.557 0.000
Ge 0.557 0.443 0.000
Ge 0.716 0.284 0.500
Ge 0.943 0.057 0.500

Output
The calculation puts the volume at 184.1 Å³ per cell. As for the energy of formation: -0.6614 eV per atom. The density of states at the Fermi level is 0.265 states/eV/atom.



# 2
First-principles (GGA-PBEsol) data for crystalline KMnIr at its relaxed geometry, as listed in Alexandria via LeMat-Bulk.

Cell lengths 2.783, 3.929, 11.755 Å; angles 90.00, 90.00, 90.00 degrees
Positions (direct):
K 0.000 0.000 0.000
K 0.500 0.500 0.500
Mn 0.000 0.000 0.269
Mn 0.500 0.500 0.769
Ir 0.000 0.000 0.721
Ir 0.500 0.500 0.221

Output
The calculation puts the volume at 128.5 Å³ per cell. As for the energy of formation: 0.5658 eV per atom. The density of states at the Fermi level is 0.943 states/eV/atom.



# 3
First-principles (GGA-PBEsol) data for crystalline Ta3GaB at its relaxed geometry, as listed in Alexandria via LeMat-Bulk.

Cell lengths 4.604, 4.604, 4.604 Å; angles 90.00, 90.00, 90.00 degrees
Positions (direct):
Ta 0.000 0.000 0.500
Ta 0.000 0.500 0.000
Ta 0.500 0.000 0.000
Ga 0.000 0.000 0.000
B 0.500 0.500 0.500

Output
The calculation puts the volume at 97.6 Å³ per cell. As for the energy of formation: 2.0981 eV per atom. The density of states at the Fermi level is 0.955 states/eV/atom.



# 4
First-principles (GGA-PBEsol) data for crystalline NbReSb2Te at its relaxed geometry, as listed in Alexandria via LeMat-Bulk.

Cell lengths 5.027, 5.027, 5.336 Å; angles 90.00, 90.00, 90.00 degrees
Positions (direct):
Nb 0.000 0.000 0.000
Re 0.500 0.500 0.500
Sb 0.000 0.500 0.500
Sb 0.500 0.000 0.500
Te 0.500 0.500 0.000

Output
The calculation puts the volume at 134.9 Å³ per cell. The calculation puts the energy at -6.1025 eV/atom. The density of states at the Fermi level is 1.048 states/eV/atom.